# 1
! TcNiPb3 PBEsol relaxed; values from VASP
! E_tot: -4.91 eV/atom
! density: 9.21 g/cm3
! symmetry: No. 221
! spin magnetization: 0.8 μB per cell
&SYSTEM
  ibrav = 0, nat = 5, ntyp = 3
/
ATOMIC_SPECIES
Tc 98.00 Tc.upf
Ni 58.69 Ni.upf
Pb 207.20 Pb.upf
ATOMIC_POSITIONS crystal
Tc 0.000 0.000 0.000
Ni 0.500 0.500 0.500
Pb 0.000 0.000 0.500
Pb 0.000 0.500 0.000
Pb 0.500 0.000 0.000
CELL_PARAMETERS angstrom
5.197 0.000 0.000
0.000 5.197 0.000
0.000 0.000 5.197

---

# 2
! Tc3NiPb PBEsol relaxed; values from VASP
! E_tot: -7.38 eV/atom
! density: 10.57 g/cm3
! symmetry: No. 221
! spin magnetization: 4.0 μB per cell
&SYSTEM
  ibrav = 0, nat = 5, ntyp = 3
/
ATOMIC_SPECIES
Tc 98.00 Tc.upf
Ni 58.69 Ni.upf
Pb 207.20 Pb.upf
ATOMIC_POSITIONS crystal
Tc 0.000 0.000 0.500
Tc 0.000 0.500 0.000
Tc 0.500 0.000 0.000
Ni 0.000 0.000 0.000
Pb 0.500 0.500 0.500
CELL_PARAMETERS angstrom
4.447 0.000 0.000
0.000 4.447 0.000
0.000 0.000 4.447

---

# 3
! TcNi2Pb PBEsol relaxed; values from VASP
! E_tot: -6.49 eV/atom
! density: 12.34 g/cm3
! symmetry: No. 123
! spin magnetization: 1.3 μB per cell
&SYSTEM
  ibrav = 0, nat = 4, ntyp = 3
/
ATOMIC_SPECIES
Tc 98.00 Tc.upf
Ni 58.69 Ni.upf
Pb 207.20 Pb.upf
ATOMIC_POSITIONS crystal
Tc 0.000 0.000 0.000
Ni 0.000 0.500 0.500
Ni 0.500 0.000 0.500
Pb 0.500 0.500 0.000
CELL_PARAMETERS angstrom
3.893 0.000 0.000
0.000 3.893 0.000
0.000 0.000 3.753

---

# 4
! TcNiPb2 PBEsol relaxed; values from VASP
! E_tot: -5.82 eV/atom
! density: 13.37 g/cm3
! symmetry: No. 10
! spin magnetization: 0.0 μB per cell
&SYSTEM
  ibrav = 0, nat = 4, ntyp = 3
/
ATOMIC_SPECIES
Tc 98.00 Tc.upf
Ni 58.69 Ni.upf
Pb 207.20 Pb.upf
ATOMIC_POSITIONS crystal
Tc 0.000 0.000 0.000
Ni 0.000 0.000 0.500
Pb 0.499 0.500 0.747
Pb 0.501 0.500 0.253
CELL_PARAMETERS angstrom
3.365 0.000 0.000
0.000 3.365 0.000
-0.012 0.000 6.263

---

Number 1: energy of formation 0.97 eV/atom. Number 2: energy of formation 1.41 eV/atom. Number 3: energy of formation 0.41 eV/atom. Number 4: energy of formation 0.54 eV/atom.